Ta2NiOs at its PBEsol-relaxed geometry. Source: the Alexandria database, functional SCAN.

The structure belongs to space group R3m (No. 160, hexagonal axes); the cell edges are 2.7816, 2.7816 and 27.1421 Å and the angles 90.00°, 90.00° and 120.00°. The distinct sites, in fractional coordinates, are Ta at (0.0000, 0.0000, 0.0000), Ta at (0.0000, 0.0000, 0.2379), Ni at (0.0000, 0.0000, 0.7448) and Os at (0.0000, 0.0000, 0.4868).

The value obtained for the formation enthalpy at 0 K is 0.225 eV/atom. Its calculated volume is 60.6 Å³/f.u.